No. 1
K2BiSb | Alexandria via LeMat-Bulk | PBE | relaxed; size of the total moment = 0.00 μB per formula unit; total energy = -2.648 eV/atom; crystal system = cubic; uncorrected formation energy = -2.27 kcal/mol of atoms
1.0
4.7972 -2.7212 2.0063
-0.3282 -3.3761 4.7893
0.4842 -5.8291 -0.4800
Sb K Bi
1 2 1
Direct
0.0000 0.0000 0.0000 Sb
0.2500 0.2500 0.2500 K
0.7500 0.7500 0.7500 K
0.5000 0.5000 0.5000 Bi

No. 2
AcAgPtPb | Alexandria via LeMat-Bulk | PBE | relaxed; size of the total moment = 0.00 μB per formula unit; total energy = -4.643 eV/atom; energy of formation from the pure elements = -466 meV per atom; crystal system = cubic
1.0
-3.0106 -4.2528 0.4915
1.4556 -3.8816 3.1947
-2.6222 -0.8500 4.4490
Pb Ac Ag Pt
1 1 1 1
Direct
0.5000 0.5000 0.5000 Pb
0.0000 0.0000 0.0000 Ac
0.2500 0.2500 0.2500 Ag
0.7500 0.7500 0.7500 Pt

No. 3
TbNdEuEr | Alexandria via LeMat-Bulk | PBE | relaxed; size of the total moment = 7.96 μB per formula unit; total energy = -5.909 eV/atom; energy of formation from the pure elements = 150 meV per atom; crystal system = cubic
1.0
5.7879 0.0000 0.0000
2.8939 5.0125 0.0000
2.8939 1.6708 4.7258
Eu Nd Tb Er
1 1 1 1
Direct
0.0000 0.0000 0.0000 Eu
0.2500 0.2500 0.2500 Nd
0.7500 0.7500 0.7500 Tb
0.5000 0.5000 0.5000 Er

No. 4
BaMn3Zn | Alexandria via LeMat-Bulk | PBE | relaxed; size of the total moment = 12.87 μB per formula unit; total energy = -4.105 eV/atom; energy of formation from the pure elements = 2036 meV per atom; crystal system = cubic
1.0
-2.3511 -5.0439 -1.1258
0.8790 -1.6091 5.3735
-5.0927 2.0509 1.4472
Zn Mn Ba
1 3 1
Direct
0.5000 0.5000 0.5000 Zn
0.0000 0.5000 0.0000 Mn
0.0000 0.0000 0.5000 Mn
0.5000 0.0000 0.0000 Mn
0.0000 0.0000 0.0000 Ba